Entry 1:
BaIn2HgRh | Alexandria | GGA-PBE | relaxed; distance to the lowest polymorph of the same formula = 57 meV per atom; E_form = -0.32 eV/atom; Fermi-level density of states = 0.483 states/eV/atom
1.0
-4.0105 -3.1063 -1.1816
3.1555 -4.1403 0.1743
-1.1953 -0.6664 5.8092
Ba In Rh Hg
1 2 1 1
direct
0.0000 0.0000 0.5000
0.5000 0.0000 0.0000
0.0000 0.5000 0.0000
0.0000 0.0000 0.0000
0.5000 0.5000 0.5000

=====

Entry 2:
KGa2Au2 | Alexandria | GGA-PBE | relaxed; distance to the lowest polymorph of the same formula = 52 meV per atom; E_form = -0.26 eV/atom; Fermi-level density of states = 0.323 states/eV/atom
1.0
6.6492 -0.4617 -1.5678
-4.2542 5.1309 -1.5678
0.2368 0.4617 6.8274
K Ga Au
2 4 4
direct
0.7124 0.7124 0.0000
0.2124 0.2124 0.0000
0.5266 0.0266 0.7309
0.7957 0.5266 0.5000
0.2957 0.7957 0.2691
0.0266 0.2957 0.5000
0.8018 0.3018 0.1438
0.1580 0.6580 0.8562
0.3018 0.1580 0.5000
0.6580 0.8018 0.5000

=====

Entry 3:
Ba3Sn5I12 | Alexandria | GGA-PBE | relaxed; Fermi-level density of states = 0.642 states/eV/atom; energy relative to the elements, uncorrected = -0.6847 eV per atom
1.0
17.2928 0.0000 0.0000
-5.7643 16.3038 0.0000
-5.7643 -8.1519 14.1195
I Ba Sn
48 12 20
direct
0.5863 0.6341 0.4173
0.4522 0.7832 0.8659
0.9173 0.8310 0.7832
0.1690 0.0827 0.7168
0.3659 0.4137 0.0827
0.4522 0.6690 0.0863
0.5827 0.7168 0.6690
0.0478 0.4137 0.8310
0.8310 0.9137 0.0478
0.9137 0.0827 0.8659
0.5827 0.8659 0.4137
0.5863 0.9522 0.6690
0.0827 0.1690 0.2168
0.9522 0.5863 0.1690
0.6690 0.4522 0.5863
0.7168 0.1341 0.0478
0.9522 0.3659 0.2832
0.2832 0.4173 0.8310
0.7832 0.3310 0.9173
0.7832 0.4522 0.3659
0.4173 0.2832 0.3310
0.6341 0.5863 0.9173
0.0478 0.6341 0.7168
0.0863 0.9173 0.1341
0.6341 0.0478 0.2168
0.5478 0.3310 0.9137
0.3310 0.7832 0.4173
0.9137 0.8310 0.5478
0.4137 0.3659 0.5827
0.9173 0.0863 0.6341
0.8659 0.2832 0.4522
0.0827 0.9137 0.3659
0.1341 0.4173 0.0863
0.3310 0.5478 0.4137
0.2168 0.5478 0.6341
0.8659 0.5827 0.9137
0.8310 0.9173 0.2832
0.4137 0.0478 0.3310
0.3659 0.9522 0.7832
0.6690 0.2168 0.5827
0.1341 0.7168 0.5478
0.1690 0.0863 0.9522
0.2832 0.8659 0.9522
0.2168 0.6690 0.0827
0.0863 0.1690 0.4522
0.7168 0.5827 0.1690
0.5478 0.2168 0.1341
0.4173 0.1341 0.5863
0.1250 0.2500 0.8750
0.1250 0.8750 0.7500
0.8750 0.1250 0.2500
0.3750 0.7500 0.6250
0.2500 0.1250 0.3750
0.6250 0.2500 0.3750
0.3750 0.6250 0.2500
0.7500 0.8750 0.6250
0.2500 0.6250 0.8750
0.7500 0.3750 0.1250
0.6250 0.3750 0.7500
0.8750 0.7500 0.1250
0.3750 0.2500 0.1250
0.7500 0.1250 0.8750
0.3750 0.1250 0.7500
0.7500 0.6250 0.3750
0.0000 0.5000 0.5000
0.0000 0.0000 0.5000
0.5000 0.5000 0.5000
0.5000 0.0000 0.0000
0.5000 0.0000 0.5000
0.8750 0.2500 0.6250
0.2500 0.3750 0.6250
0.1250 0.3750 0.2500
0.6250 0.7500 0.8750
0.5000 0.5000 0.0000
0.0000 0.0000 0.0000
0.1250 0.7500 0.3750
0.0000 0.5000 0.0000
0.8750 0.6250 0.7500
0.2500 0.8750 0.1250
0.6250 0.8750 0.2500

=====

Total DFT energy (no corrections) across the listed records, respectively: -16.6; -30.1; -232.3 eV for the cell shown.
Calculated density across the listed records, respectively: 6.9; 8.3; 4.2 g/cm³.
Total magnetic moment across the listed records, respectively: 0.00; 0.00; 3.92 μB/f.u..